Entry 1:
ErNi3: relaxed, PBE.

Cell lengths 8.5826, 8.5826, 8.5826 Å; angles 33.33, 33.33, 33.33 degrees
Site moments in Bohr magnetons follow the coordinates.
Element x y z (fractional)
Er 0.0000 0.0000 0.0000  0.04
Er 0.1389 0.1389 0.1389  0.04
Er 0.8611 0.8611 0.8611  0.04
Ni 0.5831 0.5831 0.0808  -0.12
Ni 0.3331 0.3331 0.3331  -0.13
Ni 0.9192 0.4169 0.4169  -0.11
Ni 0.4169 0.9192 0.4169  -0.14
Ni 0.5000 0.5000 0.5000  -0.09
Ni 0.5831 0.0808 0.5831  -0.14
Ni 0.0808 0.5831 0.5831  -0.11
Ni 0.6669 0.6669 0.6669  -0.13
Ni 0.4169 0.4169 0.9192  -0.12

Properties
E_form, eV per atom: -0.439
SG: R-3m
Total magnetic moment, μB/f.u.: 0.31

Entry 2:
Gd2HoN3: relaxed, PBE.

Cell lengths 3.4841, 3.4841, 8.5278 Å; angles 90.00, 90.00, 120.00 degrees
Element x y z (fractional)
Gd 0.6667 0.3333 0.1685
Gd 0.3333 0.6667 0.8315
Ho 0.0000 0.0000 0.5000
N 0.0000 0.0000 0.0000
N 0.3333 0.6667 0.3372
N 0.6667 0.3333 0.6628

Properties
E_tot, Ry per atom: -0.598
SG: P-3m1
Total magnetic moment, μB/f.u.: 0.00

Entry 3:
LaDyGa: relaxed, PBE.

Cell lengths 5.0663, 5.0663, 5.0663 Å; angles 60.00, 60.00, 60.00 degrees
Site moments in Bohr magnetons follow the coordinates.
Element x y z (fractional)
Dy 0.2500 0.2500 0.2500  0.21
Ga 0.0000 0.0000 0.0000  0.01
La 0.7500 0.7500 0.7500  0.12

Properties
SG: F-43m
Total magnetic moment, μB/f.u.: 0.67
Polymorph energy (0 for the lowest one), meV/atom: 0